A plane-wave DFT calculation with PBE was carried out for a geometry-optimized NiSbPt2 structure.

```
4
Lattice="8.3877 0.0460 0.0272 7.8168 3.0420 0.0272 7.8168 1.4896 2.6525" Properties=species:S:1:pos:R:3 pbc="T T T"
Pt 0.1375 0.0262 0.0155
Pt 5.9617 1.1361 0.6718
Ni 18.0602 3.4416 2.0351
Sb 11.8725 2.2625 1.3379
```

Summary:
Its crystal system is trigonal. As for the total energy: -5.3856 eV/atom. The value obtained for the mass density is 14.3 g/cm³.

=====

A plane-wave DFT calculation with PBE was carried out for a geometry-optimized Ni2SbPt structure.

```
4
Lattice="4.4814 -0.1752 -0.0205 0.8918 4.3952 0.0205 -2.6728 -2.1276 2.9057" Properties=species:S:1:pos:R:3 pbc="T T T"
Pt 2.2476 -0.0964 1.4426
Sb 0.4528 2.1888 1.4631
Ni 0.0009 0.0007 0.0000
Ni 2.6857 2.1093 0.0000
```

Summary:
Its crystal system is tetragonal. As for the total energy: -5.5716 eV/atom. The value obtained for the mass density is 12.5 g/cm³.

=====

A plane-wave DFT calculation with PBE was carried out for a geometry-optimized NiSbPt2 structure.

```
4
Lattice="-1.3148 -7.3146 4.3256 1.1601 -6.2899 5.7476 -1.5845 -5.3042 6.5802" Properties=species:S:1:pos:R:3 pbc="T T T"
Pt -0.0112 -0.1219 0.1074
Pt -0.8584 -9.3324 8.2193
Sb -0.4348 -4.7272 4.1633
Ni -1.3044 -14.1815 12.4900
```

Summary:
Its crystal system is trigonal. As for the total energy: -5.3548 eV/atom. The value obtained for the mass density is 14.1 g/cm³.

=====

A plane-wave DFT calculation with PBE was carried out for a geometry-optimized NiSbPt2 structure.

```
4
Lattice="-2.9776 0.3316 -3.3546 -0.2439 -3.2321 -3.1181 -3.5633 -2.7416 -0.1232" Properties=species:S:1:pos:R:3 pbc="T T T"
Pt 0.0000 0.0000 0.0000
Pt -1.6962 -1.4105 -1.6490
Sb -5.0886 -4.2316 -4.9469
Ni -3.3924 -2.8211 -3.2979
```

Summary:
Its crystal system is cubic. As for the total energy: -5.5855 eV/atom. The value obtained for the mass density is 14.7 g/cm³.

=====

A plane-wave DFT calculation with PBE was carried out for a geometry-optimized Ni5SbPt2 structure.

```
8
Lattice="4.3399 -0.6472 -1.0258 -0.9900 4.2747 -1.0258 -0.2568 -0.2781 6.0565" Properties=species:S:1:pos:R:3 pbc="T T T"
Ni 2.5171 0.0524 0.7186
Ni -0.1478 2.5133 0.7186
Ni 0.5760 3.2971 3.2862
Ni 0.0000 0.0000 0.0000
Ni 3.2409 0.8362 3.2862
Pt 2.4061 2.6055 1.5677
Pt 0.6870 0.7440 2.4371
Sb 1.6749 1.8138 -1.0258
```

Summary:
Its crystal system is orthorhombic. As for the total energy: -5.7601 eV/atom. The value obtained for the mass density is 12.7 g/cm³.

=====

A plane-wave DFT calculation with PBE was carried out for a geometry-optimized NiSb6Pt2 structure.

```
18
Lattice="6.0494 0.0000 0.0000 0.0000 6.0497 0.0000 0.0000 0.0000 12.5528" Properties=species:S:1:pos:R:3 pbc="T T T"
Pt 0.0000 0.0000 2.1074
Pt 0.0000 0.0000 10.4454
Pt 3.0247 3.0249 4.1690
Pt 3.0247 3.0249 8.3838
Sb 1.7742 1.7743 6.2764
Sb 4.1853 4.1855 10.5543
Sb 4.7989 1.2506 0.0000
Sb 1.1606 4.8891 4.2779
Sb 1.2505 4.7992 0.0000
Sb 4.8888 1.1607 8.2749
Sb 1.8641 1.8642 10.5543
Sb 1.8641 1.8642 1.9985
Sb 4.1853 4.1855 1.9985
Sb 1.1606 4.8891 8.2749
Sb 4.8888 1.1607 4.2779
Sb 4.2752 4.2754 6.2764
Ni 3.0247 3.0249 0.0000
Ni 0.0000 0.0000 6.2764
```

Summary:
Its crystal system is tetragonal. As for the total energy: -4.8287 eV/atom. The value obtained for the mass density is 8.5 g/cm³.

=====

A plane-wave DFT calculation with PBE was carried out for a geometry-optimized Ni2SbPt structure.

```
4
Lattice="3.3009 -0.0112 0.0000 0.0125 3.3009 0.0000 0.0000 0.0000 5.4345" Properties=species:S:1:pos:R:3 pbc="T T T"
Sb 1.6567 1.6449 4.0759
Ni 0.0000 0.0000 5.4314
Ni 0.0000 0.0000 2.7204
Pt 1.6567 1.6449 1.3586
```

Summary:
Its crystal system is tetragonal. As for the total energy: -5.4691 eV/atom. The value obtained for the mass density is 12.2 g/cm³.

=====

A plane-wave DFT calculation with PBE was carried out for a geometry-optimized Ni2SbPt structure.

```
4
Lattice="-1.4457 2.7912 7.2577 -1.2511 -0.2250 7.8064 1.3017 1.4774 7.6602" Properties=species:S:1:pos:R:3 pbc="T T T"
Sb -1.0377 3.0077 16.9029
Ni -1.3890 4.0260 22.6257
Ni -0.3559 1.0315 5.7971
Pt -0.7051 2.0437 11.4851
```

Summary:
Its crystal system is trigonal. As for the total energy: -5.1702 eV/atom. The value obtained for the mass density is 11.4 g/cm³.

=====

A plane-wave DFT calculation with PBE was carried out for a geometry-optimized Ni2Sb6Pt structure.

```
9
Lattice="5.1802 0.0000 0.0000 0.0000 5.8267 -3.3638 0.0000 0.0001 6.7280" Properties=species:S:1:pos:R:3 pbc="T T T"
Pt 0.0000 0.0000 0.0000
Sb 1.2260 5.8267 0.9362
Sb 1.2261 3.7241 4.5780
Sb 1.2261 2.1027 1.2140
Sb 3.9541 3.7241 2.1502
Sb 3.9541 0.0001 2.4279
Sb 3.9541 2.1027 -1.2139
Ni 2.5901 1.9423 3.3641
Ni 2.5901 3.8845 0.0001
```

Summary:
Its crystal system is trigonal. As for the total energy: -4.9653 eV/atom. The value obtained for the mass density is 8.5 g/cm³.

=====

A plane-wave DFT calculation with PBE was carried out for a geometry-optimized NiSb3Pt12 structure.

```
16
Lattice="4.0217 0.0000 0.0000 0.0000 4.0217 0.0000 0.0000 0.0000 16.3739" Properties=species:S:1:pos:R:3 pbc="T T T"
Pt 2.0108 0.0000 6.1408
Pt 0.0000 2.0108 14.4887
Pt 0.0000 2.0108 6.1408
Pt 2.0108 0.0000 14.4887
Pt 2.0108 0.0000 1.8852
Pt 2.0108 0.0000 10.2331
Pt 0.0000 2.0108 10.2331
Pt 2.0108 2.0108 12.2321
Pt 2.0108 2.0108 4.1418
Pt 2.0108 2.0108 0.0000
Pt 2.0108 2.0108 8.1869
Pt 0.0000 2.0108 1.8852
Sb 0.0000 0.0000 3.7685
Sb 0.0000 0.0000 12.6054
Sb 0.0000 0.0000 8.1869
Ni 0.0000 0.0000 0.0000
```

Summary:
Its crystal system is tetragonal. As for the total energy: -5.8224 eV/atom. The value obtained for the mass density is 17.3 g/cm³.

=====

A plane-wave DFT calculation with PBE was carried out for a geometry-optimized Ni8SbPt2 structure.

```
11
Lattice="3.5758 0.0000 -1.0279 -0.5634 5.4776 -1.9599 0.0301 0.5186 6.8384" Properties=species:S:1:pos:R:3 pbc="T T T"
Pt 2.5909 2.2432 2.2795
Pt 0.4516 3.7530 1.5711
Ni 0.3972 1.1247 1.3819
Ni 1.8510 2.5991 -0.2945
Ni 2.6453 4.8716 2.4687
Ni 1.1915 3.3972 4.1451
Ni 1.9384 5.1668 0.0096
Ni 1.1042 0.8295 3.8411
Ni 3.2904 2.0155 4.7131
Ni -0.2479 3.9808 -0.8625
Sb 1.7879 0.0000 -0.5139
```

Summary:
Its crystal system is monoclinic. As for the total energy: -5.7675 eV/atom. The value obtained for the mass density is 11.8 g/cm³.

=====

A plane-wave DFT calculation with PBE was carried out for a geometry-optimized NiSbPt2 structure.

```
4
Lattice="4.9619 -0.0020 -0.0018 1.8068 4.6213 0.0018 -3.2229 -2.5462 2.7840" Properties=species:S:1:pos:R:3 pbc="T T T"
Pt 1.0705 2.2513 1.3929
Pt 6.7565 4.6109 0.0000
Sb 3.4296 2.3405 0.0000
Ni 2.4423 -0.2008 1.3911
```

Summary:
Its crystal system is orthorhombic. As for the total energy: -5.6288 eV/atom. The value obtained for the mass density is 14.8 g/cm³.

=====

A plane-wave DFT calculation with PBE was carried out for a geometry-optimized Ni2Sb2Pt structure.

```
10
Lattice="-5.2320 -1.6939 -4.1646 -1.7609 -5.1074 4.2896 -2.0904 2.1813 1.7390" Properties=species:S:1:pos:R:3 pbc="T T T"
Pt -3.4965 -3.4007 0.0625
Pt 0.0000 0.0000 0.0000
Ni -3.4762 -5.0784 2.1912
Ni -3.5167 -1.7230 -2.0662
Ni -5.6654 -4.6873 -0.9309
Ni -1.3275 -2.1140 1.0559
Sb -3.1390 -2.6431 3.0360
Sb -5.9444 -1.9769 -1.1720
Sb -6.0244 -4.2715 1.6100
Sb -3.0590 -0.3486 0.2541
```

Summary:
Its crystal system is tetragonal. As for the excess energy over the best structure of this formula in the dataset: 0.000 eV per atom. The value obtained for the mass density is 11.1 g/cm³.

=====

A plane-wave DFT calculation with PBE was carried out for a geometry-optimized NiSbPt2 structure.

```
4
Lattice="-0.2271 2.9286 1.7063 -3.1227 0.5543 -1.3669 -2.3518 -2.6797 4.2862" Properties=species:S:1:pos:R:3 pbc="T T T"
Pt -1.2093 -1.3778 2.2038
Pt -2.3185 -2.6417 4.2254
Sb -2.2629 1.0715 1.2413
Ni -3.4388 -0.2683 3.3843
```

Summary:
Its crystal system is orthorhombic. As for the total energy: -5.5873 eV/atom. The value obtained for the mass density is 14.5 g/cm³.

=====

A plane-wave DFT calculation with PBE was carried out for a geometry-optimized NiSbPt2 structure.

```
4
Lattice="-3.1958 -1.2160 1.9457 0.6384 -3.6799 -1.2514 2.3068 -0.7615 3.3130" Properties=species:S:1:pos:R:3 pbc="T T T"
Ni 0.3995 -4.2923 1.9509
Pt -0.9870 -2.1111 1.0368
Pt 0.7649 -3.2924 -0.8014
Sb 1.6829 -1.8621 1.6003
```

Summary:
Its crystal system is monoclinic. As for the total energy: -5.6652 eV/atom. The value obtained for the mass density is 14.9 g/cm³.

=====

A plane-wave DFT calculation with PBE was carried out for a geometry-optimized Ni2SbPt structure.

```
4
Lattice="3.4658 0.0000 0.0000 0.0000 3.2194 0.0000 0.0000 0.0000 5.3509" Properties=species:S:1:pos:R:3 pbc="T T T"
Sb 1.7329 1.6097 4.1037
Ni 0.0000 0.0000 0.0566
Ni 1.7329 1.6097 1.2787
Pt 0.0000 0.0000 2.5874
```

Summary:
Its crystal system is orthorhombic. As for the total energy: -5.4600 eV/atom. The value obtained for the mass density is 12.1 g/cm³.

=====

A plane-wave DFT calculation with PBE was carried out for a geometry-optimized NiSbPt2 structure.

```
4
Lattice="4.9577 0.0138 0.0561 3.3303 3.6726 0.0561 1.5604 0.6940 3.5193" Properties=species:S:1:pos:R:3 pbc="T T T"
Ni 2.4621 1.0951 0.9079
Pt 4.9800 2.2150 1.7899
Pt 8.2322 3.6615 0.1380
Sb 7.3863 3.2853 2.7236
```

Summary:
Its crystal system is monoclinic. As for the total energy: -5.6582 eV/atom. The value obtained for the mass density is 14.9 g/cm³.

=====

A plane-wave DFT calculation with PBE was carried out for a geometry-optimized Ni2SbPt structure.

```
4
Lattice="4.7831 -0.0003 -0.0182 3.2541 3.5056 -0.0182 1.5493 0.6757 3.4359" Properties=species:S:1:pos:R:3 pbc="T T T"
Sb 2.3977 1.0457 0.8502
Ni 8.0336 3.5037 -0.0345
Ni 7.1902 3.1359 2.5485
Pt 4.7953 2.0914 1.6985
```

Summary:
Its crystal system is orthorhombic. As for the total energy: -5.5885 eV/atom. The value obtained for the mass density is 12.5 g/cm³.

=====

A plane-wave DFT calculation with PBE was carried out for a geometry-optimized NiSbPt2 structure.

```
4
Lattice="3.4835 0.0227 0.0000 -0.0217 3.4835 0.0000 0.0000 0.0000 5.4346" Properties=species:S:1:pos:R:3 pbc="T T T"
Ni 1.7309 1.7531 4.2171
Sb 0.0000 0.0000 2.6779
Pt 0.0000 0.0000 5.2907
Pt 1.7309 1.7531 1.4009
```

Summary:
Its crystal system is tetragonal. As for the total energy: -5.5644 eV/atom. The value obtained for the mass density is 14.4 g/cm³.

=====

A plane-wave DFT calculation with PBE was carried out for a geometry-optimized Ni3SbPt4 structure.

```
8
Lattice="3.8255 0.0004 -1.0339 -0.2732 3.8208 -1.0149 0.0853 0.0524 7.9276" Properties=species:S:1:pos:R:3 pbc="T T T"
Pt 1.3722 1.4464 5.0878
Pt 3.1475 3.3579 4.0636
Pt 2.2654 2.4272 0.7911
Pt 0.4901 0.5158 1.8153
Ni -0.1366 1.9104 -0.5074
Ni 0.7889 2.8857 2.9271
Ni 2.8487 0.9880 2.9518
Sb 1.9128 0.0002 -0.5169
```

Summary:
Its crystal system is tetragonal. As for the total energy: -5.8536 eV/atom. The value obtained for the mass density is 15.4 g/cm³.

=====

A plane-wave DFT calculation with PBE was carried out for a geometry-optimized Ni2SbPt structure.

```
4
Lattice="-0.3660 1.0802 -4.2086 -3.7345 -0.7430 -2.1247 -2.5392 3.3426 -1.1801" Properties=species:S:1:pos:R:3 pbc="T T T"
Pt -3.3198 1.8399 -3.7567
Ni -1.6599 0.9199 -1.8783
Ni 0.0000 0.0000 0.0000
Sb -4.9797 2.7598 -5.6350
```

Summary:
Its crystal system is cubic. As for the total energy: -5.5123 eV/atom. The value obtained for the mass density is 12.3 g/cm³.

=====

A plane-wave DFT calculation with PBE was carried out for a geometry-optimized Ni5SbPt8 structure.

```
14
Lattice="-2.2967 6.0879 -0.3969 -3.9005 -4.0935 -3.2440 0.2557 -1.6518 6.3009" Properties=species:S:1:pos:R:3 pbc="T T T"
Pt -3.1441 -2.2429 -1.9404
Pt -1.7551 0.3201 1.5854
Pt -4.7708 -1.6729 2.1465
Pt -2.9340 -3.3229 0.5898
Pt -2.6410 2.8689 1.0101
Pt -3.4784 0.2888 -0.5268
Pt -2.2129 4.2808 3.5286
Pt -2.8296 0.8503 4.2469
Ni -1.3195 -1.3126 -0.3003
Ni -0.7523 -0.1845 5.6803
Ni -4.2811 0.9141 1.9742
Ni -1.0205 2.2181 2.9520
Ni -5.5301 1.2680 -2.0341
Sb -2.3327 -1.7636 3.0044
```

Summary:
Its crystal system is tetragonal. As for the total energy: -5.7500 eV/atom. The value obtained for the mass density is 15.4 g/cm³.

=====

A plane-wave DFT calculation with PBE was carried out for a geometry-optimized ScNiSbPt structure.

```
4
Lattice="4.5904 0.0000 0.0000 2.2952 3.9754 0.0000 2.2952 1.3251 3.7481" Properties=species:S:1:pos:R:3 pbc="T T T"
Sc 4.5904 2.6503 1.8740
Sb 0.0000 0.0000 0.0000
Pt 6.8856 3.9754 2.8110
Ni 2.2952 1.3251 0.9370
```

Summary:
Its crystal system is cubic. As for the total energy: -6.2053 eV/atom. The value obtained for the mass density is 10.2 g/cm³.

=====

A plane-wave DFT calculation with PBE was carried out for a geometry-optimized Si3Ni4SbPt12 structure.

```
20
Lattice="7.7629 0.0000 0.0000 -2.5876 7.3189 0.0000 -2.5876 -3.6595 6.3384" Properties=species:S:1:pos:R:3 pbc="T T T"
Si -2.5876 1.8297 3.1692
Si 2.5876 3.6595 0.0000
Si 2.5876 -1.8297 3.1692
Pt 4.4595 4.6492 0.9569
Pt -0.7158 2.1636 1.8336
Pt 3.3034 1.4959 4.5048
Pt -0.3092 5.7078 0.8767
Pt 2.2784 1.5648 0.9569
Pt 2.8968 -2.0484 5.4617
Pt 0.3092 2.0947 5.3815
Pt 1.8718 4.1656 3.5479
Pt 0.7158 -0.5061 2.7905
Pt 5.4845 -0.0463 1.8336
Pt -1.8718 -0.9898 5.3815
Pt -2.8968 3.7058 4.5048
Sb 0.0000 0.0000 0.0000
Ni -1.2938 -1.8297 3.1692
Ni 1.2938 1.8297 3.1692
Ni -1.2938 3.6595 0.0000
Ni 3.8815 0.0000 0.0000
```

Summary:
Its crystal system is cubic. As for the total energy: -5.6191 eV/atom. The value obtained for the mass density is 12.8 g/cm³.

=====

A plane-wave DFT calculation with PBE was carried out for a geometry-optimized Sm2Ni3Sb4Pt structure.

```
10
Lattice="-2.1691 1.5207 3.6679 -0.4036 -4.2423 1.5202 8.7848 0.8932 4.8247" Properties=species:S:1:pos:R:3 pbc="T T T"
Pt 3.1061 -0.9142 5.0064
Sb -1.2863 -1.3608 2.5941
Sb 4.4995 1.3281 4.9007
Sb 2.9990 -1.7957 2.5180
Sb 0.0000 0.0000 0.0000
Ni 4.3924 0.4466 2.4123
Ni 0.8425 -2.0150 1.3336
Ni 6.6561 1.5474 6.0851
Sm 6.3237 -1.4577 4.3439
Sm 1.1748 0.9901 3.0748
```

Summary:
Its crystal system is tetragonal. As for the total energy: -5.5888 eV/atom. The value obtained for the mass density is 9.3 g/cm³.